No. 1
Here is a geometry-optimized Dy2YMg3Pd2Pt structure from OQMD. Energies are from GGA-PBE.

a b c (Å): 4.1014 12.8222 7.3661
angles (deg): 90.00 90.00 90.00
Closest atoms and distances in Å follow each position.
Space group Amm2 (No. 38)
Symmetry-distinct sites (fractional):
Dy  0.0000  0.2038  0.0000  1 Pt 3.01, 4 Pd 3.03, 6 Mg 3.29-3.34
Y  0.0000  0.0000  0.3882  1 Pt 3.02, 4 Pd 3.05, 6 Mg 3.28-3.33
Mg  0.5000  0.0000  0.0413  2 Pt 2.72, 2 Pd 2.86
Mg  0.5000  0.1217  0.6741  2 Pt 2.73, 2 Pd 2.84-2.85
Pd  0.5000  0.1681  0.2957  3 Mg 2.84-2.86, 4 Dy 3.03, 2 Y 3.05
Pt  0.0000  0.0000  0.7983  6 Mg 2.72-2.73, 2 Dy 3.01, 1 Y 3.02

Calculated values
M_tot   0.002 μB/atom



No. 2
Here is a geometry-optimized Cd2PdAu2 structure from OQMD. Energies are from GGA-PBE.

a b c (Å): 4.0528 4.0528 12.5867
angles (deg): 90.00 90.00 90.00
Closest atoms and distances in Å follow each position.
Space group I4/mmm (No. 139)
Symmetry-distinct sites (fractional):
Cd  0.0000  0.5000  0.2500  4 Au 2.76, 4 Cd 2.87
Pd  0.0000  0.0000  0.0000  8 Au 3.14
Au  0.0000  0.0000  0.3984  1 Au 2.56, 4 Cd 2.76

Calculated values
Energy relative to the elements   0.1177 eV per atom



For reference, final energy by record: -87.50, -25.82 eV per cell.